A plane-wave DFT calculation with GGA+U was carried out for a relaxed Sr2MnClF crystal.

## Properties
Final energy in eV/atom: -4.120
Spin magnetization in μB/f.u.: 5.08
Calculated density in g/cm³: 3.273

a = 5.002 Å, b = 5.002 Å, c = 5.772 Å
α = 90.00°, β = 90.00°, γ = 90.00°
Atoms (fractional coordinates):
Sr 0.000 0.500 0.000
Sr 0.500 0.000 0.000
Mn 0.000 0.000 0.500
Cl 0.500 0.500 0.500
F 0.500 0.500 0.000